First-principles (GGA-PBE) data for a relaxed Ba2GaSbTe5 crystal, as listed in Alexandria.

Its electronic total energy is -35.2 eV per formula unit. The energy above the most stable polymorph in this dataset is 0 meV per atom. The value obtained for the energy relative to the elements, uncorrected is -0.94 eV/atom.

The space group is Pnma (No. 62) and the conventional cell measures 13.807, 9.701 and 10.046 Å, with angles of 90.00, 90.00 and 90.00 degrees. The distinct sites, in fractional coordinates, are Ba at (0.175, 0.006, 0.124), Ga at (0.099, 0.750, 0.835), Sb at (0.030, 0.750, 0.481), Te at (0.009, 0.250, 0.953), Te at (0.059, 0.533, 0.677), Te at (0.215, 0.250, 0.392) and Te at (0.222, 0.750, 0.382).

First-principles (GGA-PBE) data for a relaxed MnS crystal, as listed in Alexandria.

Its electronic total energy is -14.1 eV per formula unit. The value obtained for the energy relative to the elements, uncorrected is -0.42 eV/atom.

The space group is Pm-3n (No. 223) and the conventional cell measures 6.913, 6.913 and 6.913 Å, with angles of 90.00, 90.00 and 90.00 degrees. The distinct sites, in fractional coordinates, are Mn at (0.000, 0.250, 0.500) and S at (0.000, 0.500, 0.250).

- The lowest energy relative to the elements, uncorrected belongs to which entry?
  Ba2GaSbTe5

- Look up the energy relative to the elements, uncorrected of the second one.
  -0.42 eV/atom